Record 1
AlFe2Pt5 | PBE | relaxed

a = 5.4754 Å, b = 10.7731 Å, c = 3.9959 Å
α = 90.00°, β = 90.00°, γ = 90.00°
Space group Pbam (No. 55)
Unique sites:
Al 0.0000 0.0000 0.0000 [2 per cell]
Fe 0.2014 0.3619 0.5000 [4 per cell]
Pt 0.0000 0.5000 0.0000 [2 per cell]
Pt 0.0441 0.7593 0.0000 [4 per cell]
Pt 0.2072 0.1079 0.5000 [4 per cell]

- Calculated total energy: -6.783 eV/atom
- DOS(E_F): 17.1 states/eV per cell
- ΔE_f: -0.42 eV per atom
- Size of the total moment: 15.46 Bohr magnetons per cell


Record 2
Al2FePt | PBE | relaxed

a = 6.0992 Å, b = 6.0992 Å, c = 6.0992 Å
α = 90.00°, β = 90.00°, γ = 90.00°
Space group F-43m (No. 216)
Unique sites:
Al 0.0000 0.0000 0.0000 [4 per cell]
Al 0.2500 0.2500 0.2500 [4 per cell]
Fe 0.2500 0.2500 0.7500 [4 per cell]
Pt 0.0000 0.0000 0.5000 [4 per cell]

- Calculated total energy: -5.821 eV/atom
- DOS(E_F): 16.9 states/eV per cell
- ΔE_f: -0.32 eV per atom
- Size of the total moment: 8.76 Bohr magnetons per cell


Record 3
AlFe2Pt | PBE | relaxed

a = 2.7006 Å, b = 2.7006 Å, c = 25.6026 Å
α = 90.00°, β = 90.00°, γ = 120.00°
Space group R-3m (No. 166, hexagonal axes)
Unique sites:
Al 0.0000 0.0000 0.0000 [3 per cell]
Fe 0.0000 0.0000 0.2526 [6 per cell]
Pt 0.0000 0.0000 0.5000 [3 per cell]

- Calculated total energy: -6.827 eV/atom
- DOS(E_F): 8.3 states/eV per cell
- ΔE_f: -0.15 eV per atom
- Size of the total moment: 14.54 Bohr magnetons per cell


Record 4
AlFe2Pt | PBE | relaxed

a = 5.1168 Å, b = 7.8006 Å, c = 2.6937 Å
α = 90.00°, β = 90.50°, γ = 90.00°
Space group C2/m (No. 12)
Unique sites:
Al 0.0000 0.0000 0.0000 [2 per cell]
Fe 0.2500 0.2500 0.5000 [4 per cell]
Pt 0.0000 0.5000 0.0000 [2 per cell]

- Calculated total energy: -6.972 eV/atom
- DOS(E_F): 7.2 states/eV per cell
- ΔE_f: -0.29 eV per atom
- Size of the total moment: 10.06 Bohr magnetons per cell


Record 5
Al2FePt | PBE | relaxed

a = 8.2806 Å, b = 2.7824 Å, c = 4.9589 Å
α = 90.00°, β = 100.61°, γ = 90.00°
Space group C2/m (No. 12)
Unique sites:
Al 0.2491 0.0000 0.2400 [4 per cell]
Fe 0.0000 0.5000 0.0000 [2 per cell]
Pt 0.0000 0.0000 0.5000 [2 per cell]

- Calculated total energy: -5.974 eV/atom
- DOS(E_F): 5.1 states/eV per cell
- ΔE_f: -0.48 eV per atom
- Size of the total moment: 3.91 Bohr magnetons per cell


Record 6
Al5Fe4Pt | PBE | relaxed

a = 2.9184 Å, b = 2.9184 Å, c = 14.5138 Å
α = 90.00°, β = 90.00°, γ = 90.00°
Space group P4/mmm (No. 123)
Unique sites:
Al 0.0000 0.0000 0.0000 [1 per cell]
Al 0.0000 0.0000 0.1958 [2 per cell]
Al 0.0000 0.0000 0.3835 [2 per cell]
Fe 0.5000 0.5000 0.0966 [2 per cell]
Fe 0.5000 0.5000 0.2929 [2 per cell]
Pt 0.5000 0.5000 0.5000 [1 per cell]

- Calculated total energy: -6.332 eV/atom
- DOS(E_F): 10.4 states/eV per cell
- ΔE_f: -0.47 eV per atom
- Size of the total moment: 2.06 Bohr magnetons per cell


Record 7
AlFe2Pt | PBE | relaxed

a = 3.5686 Å, b = 3.5686 Å, c = 18.3024 Å
α = 90.00°, β = 90.00°, γ = 90.00°
Space group I-42d (No. 122)
Unique sites:
Al 0.0000 0.0000 0.0000 [4 per cell]
Fe 0.2372 0.2500 0.1250 [8 per cell]
Pt 0.0000 0.0000 0.5000 [4 per cell]

- Calculated total energy: -6.712 eV/atom
- DOS(E_F): 8.2 states/eV per cell
- ΔE_f: -0.03 eV per atom
- Size of the total moment: 20.86 Bohr magnetons per cell


Record 8
Al8FePt2 | PBE | relaxed

a = 3.9650 Å, b = 7.1730 Å, c = 11.7164 Å
α = 90.00°, β = 90.00°, γ = 90.00°
Space group Immm (No. 71)
Unique sites:
Al 0.0000 0.0000 0.1425 [4 per cell]
Al 0.0000 0.2344 0.3424 [8 per cell]
Al 0.0000 0.2937 0.0000 [4 per cell]
Fe 0.0000 0.5000 0.5000 [2 per cell]
Pt 0.0000 0.5000 0.1837 [4 per cell]

- Calculated total energy: -5.092 eV/atom
- DOS(E_F): 7.1 states/eV per cell
- ΔE_f: -0.50 eV per atom
- Size of the total moment: 0.00 Bohr magnetons per cell


Record 9
Al2FePt | PBE | relaxed

a = 6.7907 Å, b = 6.7907 Å, c = 5.4166 Å
α = 90.00°, β = 90.00°, γ = 90.00°
Space group I-42d (No. 122)
Unique sites:
Al 0.2455 0.2500 0.1250 [8 per cell]
Fe 0.0000 0.0000 0.5000 [4 per cell]
Pt 0.0000 0.0000 0.0000 [4 per cell]

- Calculated total energy: -5.609 eV/atom
- DOS(E_F): 15.9 states/eV per cell
- ΔE_f: -0.11 eV per atom
- Size of the total moment: 8.99 Bohr magnetons per cell


Record 10
Al2FePt | PBE | relaxed

a = 2.8104 Å, b = 2.8104 Å, c = 24.7154 Å
α = 90.00°, β = 90.00°, γ = 120.00°
Space group R-3m (No. 166, hexagonal axes)
Unique sites:
Al 0.0000 0.0000 0.2467 [6 per cell]
Fe 0.0000 0.0000 0.5000 [3 per cell]
Pt 0.0000 0.0000 0.0000 [3 per cell]

- Calculated total energy: -5.939 eV/atom
- DOS(E_F): 4.0 states/eV per cell
- ΔE_f: -0.44 eV per atom
- Size of the total moment: 5.62 Bohr magnetons per cell


Record 11
AlFe2Pt | PBE | relaxed

a = 8.5212 Å, b = 2.7945 Å, c = 4.6328 Å
α = 90.00°, β = 103.52°, γ = 90.00°
Space group Cm (No. 8)
Unique sites:
Al 0.0000 0.0000 0.0000 [2 per cell]
Fe 0.0102 0.5000 0.5319 [2 per cell]
Fe 0.2475 0.0000 0.7197 [2 per cell]
Pt 0.2529 0.5000 0.2269 [2 per cell]

- Calculated total energy: -6.994 eV/atom
- DOS(E_F): 5.9 states/eV per cell
- ΔE_f: -0.32 eV per atom
- Size of the total moment: 9.92 Bohr magnetons per cell